Record 1
5
Lattice="-3.049 -2.371 -0.984 1.353 -2.874 2.734 -2.233 4.941 3.086" Properties=species:S:1:pos:R:3 comment="PmZn2GeRh (GGA-PBE, relaxed)" formation_energy_ev_per_atom=-0.526 total_energy_ev_per_cell=-21.899 magnetic_moment_mub_per_cell=0.00 sg="Imm2 (44)" pbc="T T T"
Pm -2.696 2.029 3.467
Zn -2.716 -0.288 1.041
Zn -0.351 0.264 0.452
Ge -2.876 -1.097 3.482
Rh -0.525 -0.533 2.912

Record 2
9
Lattice="-4.572 -0.450 0.087 0.427 -4.502 -0.816 0.265 -1.289 7.253" Properties=species:S:1:pos:R:3 comment="PmZnGe2Rh5 (GGA-PBE, relaxed)" formation_energy_ev_per_atom=-0.319 total_energy_ev_per_cell=-54.889 magnetic_moment_mub_per_cell=0.00 sg="P4/mmm (123)" pbc="T T T"
Pm 0.133 -0.645 3.626
Zn 0.000 0.000 0.000
Ge -2.028 -2.694 0.866
Ge -1.852 -3.546 5.659
Rh 0.273 -2.539 1.210
Rh -2.227 -0.512 1.661
Rh 0.420 -3.253 5.227
Rh -2.080 -1.227 5.679
Rh -1.940 -3.120 3.262

Record 3
12
Lattice="5.816 0.000 0.000 -2.908 5.037 0.000 0.000 0.000 8.572" Properties=species:S:1:pos:R:3 comment="Pm3ZnGe6Rh2 (GGA-PBE, relaxed)" formation_energy_ev_per_atom=-0.342 total_energy_ev_per_cell=-62.041 magnetic_moment_mub_per_cell=0.00 sg="P-3m1 (164)" pbc="T T T"
Pm 0.000 3.358 5.163
Pm 2.908 1.679 3.409
Pm 0.000 0.000 0.000
Zn 0.000 0.000 4.286
Ge 1.323 4.122 2.344
Ge 0.000 1.830 2.344
Ge -1.323 4.122 2.344
Ge 2.908 3.207 6.228
Ge 1.585 0.915 6.228
Ge 4.231 0.915 6.228
Rh 2.908 1.679 8.229
Rh 0.000 3.358 0.342

Record 4
10
Lattice="-0.491 -3.576 2.209 4.184 -0.630 -0.091 0.980 5.247 8.711" Properties=species:S:1:pos:R:3 comment="Pm2ZnGe3Rh4 (GGA-PBE, relaxed)" formation_energy_ev_per_atom=-0.826 total_energy_ev_per_cell=-62.290 magnetic_moment_mub_per_cell=0.00 sg="P-4m2 (115)" pbc="T T T"
Pm 0.001 -0.471 3.291
Pm 2.826 3.615 6.480
Zn 2.336 0.520 5.415
Ge 0.490 2.624 4.356
Ge 0.608 2.779 8.687
Ge 2.219 0.365 1.083
Rh 1.846 -2.103 1.059
Rh 0.000 0.000 0.000
Rh 0.374 1.529 6.611
Rh 2.452 1.615 3.160